{
  "formula": "Cu3As",
  "functional": "GGA-PBE",
  "state": "optimized geometry",
  "total_magnetization_mub_per_cell": 0.0,
  "volume_a3_per_atom": 13.3,
  "delta_e_f_ev_per_atom": 0.045,
  "lattice_angstrom": [[4.254, 0.000, 0.000], [0.000, 5.277, 0.000], [0.000, 0.000, 4.734]],
  "species": ["Cu", "Cu", "Cu", "Cu", "Cu", "Cu", "As", "As"],
  "fractional_positions": [[0.250, 0.002, 0.153], [0.250, 0.250, 0.670], [0.250, 0.498, 0.153], [0.750, 0.502, 0.847], [0.750, 0.750, 0.330], [0.750, 0.998, 0.847], [0.250, 0.750, 0.666], [0.750, 0.250, 0.334]]
}


{
  "formula": "Li4ZnIn5",
  "functional": "GGA-PBE",
  "state": "optimized geometry",
  "total_magnetization_mub_per_cell": 0.0,
  "volume_a3_per_atom": 20.1,
  "delta_e_f_ev_per_atom": -0.202,
  "lattice_angstrom": [[3.504, 0.000, 0.000], [0.000, 3.504, 0.000], [0.000, 0.000, 16.377]],
  "species": ["Li", "Li", "Li", "Li", "Zn", "In", "In", "In", "In", "In"],
  "fractional_positions": [[0.000, 0.000, 0.099], [0.000, 0.000, 0.299], [0.000, 0.000, 0.701], [0.000, 0.000, 0.901], [0.000, 0.000, 0.500], [0.500, 0.500, 0.000], [0.500, 0.500, 0.198], [0.500, 0.500, 0.399], [0.500, 0.500, 0.601], [0.500, 0.500, 0.802]]
}


{
  "formula": "Tl14InPb",
  "functional": "GGA-PBE",
  "state": "optimized geometry",
  "total_magnetization_mub_per_cell": 0.0,
  "volume_a3_per_atom": 30.8,
  "delta_e_f_ev_per_atom": 0.008,
  "lattice_angstrom": [[10.950, 0.000, 0.000], [0.000, 4.127, 5.448], [0.000, -4.127, 5.448]],
  "species": ["Tl", "Tl", "Tl", "Tl", "Tl", "Tl", "Tl", "Tl", "Tl", "Tl", "Tl", "Tl", "Tl", "Tl", "In", "Pb"],
  "fractional_positions": [[0.000, 0.000, 0.000], [0.000, 0.486, 0.486], [0.000, 0.507, 0.977], [0.000, 0.977, 0.507], [0.243, 0.264, 0.264], [0.255, 0.230, 0.769], [0.255, 0.769, 0.230], [0.261, 0.736, 0.736], [0.500, 0.004, 0.464], [0.500, 0.464, 0.004], [0.739, 0.736, 0.736], [0.745, 0.230, 0.769], [0.745, 0.769, 0.230], [0.757, 0.264, 0.264], [0.500, 0.972, 0.972], [0.500, 0.495, 0.495]]
}


{
  "formula": "Mn2Co",
  "functional": "GGA-PBE",
  "state": "optimized geometry",
  "total_magnetization_mub_per_cell": 6.5,
  "volume_a3_per_atom": 14.1,
  "delta_e_f_ev_per_atom": 0.621,
  "lattice_angstrom": [[0.000, 2.763, 2.763], [2.763, 0.000, 2.763], [2.763, 2.763, 0.000]],
  "species": ["Mn", "Mn", "Co"],
  "fractional_positions": [[0.250, 0.250, 0.250], [0.750, 0.750, 0.750], [0.000, 0.000, 0.000]]
}


{
  "formula": "SmH3",
  "functional": "GGA-PBE",
  "state": "optimized geometry",
  "total_energy_ev_per_atom": -4.09,
  "total_magnetization_mub_per_cell": 0.0,
  "volume_a3_per_atom": 9.7,
  "lattice_angstrom": [[3.389, 0.000, 0.000], [0.000, 3.389, 0.000], [0.000, 0.000, 3.389]],
  "species": ["Sm", "H", "H", "H"],
  "fractional_positions": [[0.000, 0.000, 0.000], [0.000, 0.500, 0.500], [0.500, 0.000, 0.500], [0.500, 0.500, 0.000]]
}